Version P
DFT (GGA-PBE) results for a relaxed NdEr3Tm5 crystal.

POSCAR file:
```
NdEr3Tm5
1.0
9.153 0.000 0.000
-4.577 9.046 -2.080
0.000 -1.218 7.067
Er Tm Nd
6 10 2
direct
0.187 0.374 0.937 Er
0.813 0.626 0.063 Er
0.000 0.000 0.500 Er
0.187 0.374 0.437 Er
0.000 0.000 0.000 Er
0.813 0.626 0.563 Er
0.155 0.673 0.834 Tm
0.845 0.327 0.661 Tm
0.482 0.327 0.666 Tm
0.155 0.673 0.339 Tm
0.845 0.327 0.166 Tm
0.707 0.000 0.250 Tm
0.293 0.000 0.750 Tm
0.482 0.327 0.161 Tm
0.518 0.673 0.839 Tm
0.518 0.673 0.334 Tm
0.648 0.000 0.750 Nd
0.352 0.000 0.250 Nd
```

Values from the calculation:
**Total moment**: 0.0 Bohr magnetons per cell

***

Version Q
DFT (GGA-PBE) results for a relaxed NdEr3Tm5 crystal.

POSCAR file:
```
NdEr3Tm5
1.0
8.946 1.824 1.434
4.203 8.105 1.434
5.765 4.353 10.574
Nd Er Tm
2 6 10
direct
0.104 0.104 0.133 Nd
0.896 0.896 0.867 Nd
0.000 0.000 0.000 Er
0.305 0.305 0.317 Er
0.829 0.829 0.339 Er
0.695 0.695 0.683 Er
0.171 0.171 0.661 Er
0.000 0.000 0.500 Er
0.491 0.076 0.781 Tm
0.444 0.444 0.435 Tm
0.076 0.491 0.781 Tm
0.677 0.323 0.000 Tm
0.323 0.677 0.000 Tm
0.628 0.628 0.074 Tm
0.509 0.924 0.219 Tm
0.372 0.372 0.926 Tm
0.924 0.509 0.219 Tm
0.556 0.556 0.565 Tm
```

Values from the calculation:
**Total moment**: 0.0 Bohr magnetons per cell

***

version P comes first in stability; the runner-up is 292 meV per atom higher.

***

Version P
DFT (GGA-PBE) results for a relaxed Nd3Er8Tm2 crystal.

POSCAR file:
```
Nd3Er8Tm2
1.0
5.548 0.000 0.796
0.000 7.699 0.000
-1.414 -3.849 9.829
Nd Er Tm
3 8 2
direct
0.000 0.707 0.000 Nd
0.000 0.293 0.000 Nd
0.500 0.000 0.000 Nd
0.500 0.181 0.779 Er
0.000 0.136 0.271 Er
0.500 0.819 0.221 Er
0.001 0.673 0.346 Er
0.500 0.598 0.779 Er
0.999 0.327 0.654 Er
0.500 0.402 0.221 Er
0.000 0.864 0.729 Er
0.499 0.241 0.482 Tm
0.501 0.759 0.518 Tm
```

Values from the calculation:
**Total moment**: 0.0 Bohr magnetons per cell

***

Version Q
DFT (GGA-PBE) results for a relaxed Nd3Er8Tm2 crystal.

POSCAR file:
```
Nd3Er8Tm2
1.0
6.448 0.499 2.451
2.618 7.943 4.338
1.305 0.453 9.320
Tm Nd Er
2 3 8
direct
0.494 0.215 0.215 Tm
0.506 0.785 0.785 Tm
0.000 0.177 0.823 Nd
0.000 0.823 0.177 Nd
0.500 0.000 0.000 Nd
0.987 0.807 0.807 Er
0.013 0.193 0.193 Er
0.560 0.561 0.200 Er
0.440 0.439 0.800 Er
0.935 0.416 0.416 Er
0.065 0.584 0.584 Er
0.560 0.200 0.561 Er
0.440 0.800 0.439 Er
```

Values from the calculation:
**Total moment**: 0.0 Bohr magnetons per cell

***

version Q comes first in stability; the runner-up is 10 meV per atom higher.

***

Version P
DFT (GGA-PBE) results for a relaxed Nd2Er3Tm5 crystal.

POSCAR file:
```
Nd2Er3Tm5
1.0
-2.837 -7.904 4.109
7.106 -4.515 4.154
-3.515 10.169 2.531
Er Nd Tm
6 4 10
direct
0.015 0.779 0.244 Er
0.985 0.221 0.756 Er
0.728 0.464 0.244 Er
0.772 0.022 0.044 Er
0.272 0.536 0.756 Er
0.228 0.978 0.956 Er
0.777 0.014 0.744 Nd
0.223 0.986 0.256 Nd
0.533 0.270 0.256 Nd
0.467 0.730 0.744 Nd
0.982 0.232 0.463 Tm
0.476 0.726 0.452 Tm
0.130 0.387 0.239 Tm
0.391 0.148 0.761 Tm
0.609 0.852 0.239 Tm
0.870 0.613 0.761 Tm
0.277 0.527 0.053 Tm
0.524 0.274 0.548 Tm
0.018 0.768 0.537 Tm
0.723 0.473 0.947 Tm
```

Values from the calculation:
**Total moment**: 0.0 Bohr magnetons per cell

***

Version Q
DFT (GGA-PBE) results for a relaxed Nd2Er3Tm5 crystal.

POSCAR file:
```
Nd2Er3Tm5
1.0
-1.263 6.553 -0.655
-8.270 0.940 -8.973
-12.185 1.032 -0.503
Nd Tm Er
4 10 6
direct
0.626 0.978 0.771 Nd
0.126 0.771 0.978 Nd
0.374 0.022 0.229 Nd
0.874 0.229 0.022 Nd
0.998 0.252 0.252 Tm
0.502 0.748 0.748 Tm
0.002 0.748 0.748 Tm
0.498 0.252 0.252 Tm
0.250 0.500 0.500 Tm
0.624 0.290 0.462 Tm
0.750 0.500 0.500 Tm
0.376 0.710 0.538 Tm
0.124 0.462 0.290 Tm
0.876 0.538 0.710 Tm
0.874 0.875 0.376 Er
0.750 0.000 0.000 Er
0.374 0.376 0.875 Er
0.250 0.000 0.000 Er
0.626 0.624 0.125 Er
0.126 0.125 0.624 Er
```

Values from the calculation:
**Total moment**: 0.0 Bohr magnetons per cell

***

version P comes first in stability; the runner-up is 230 meV per atom higher.